# 1
Compound: UPaC
Source: the Alexandria database
Functional: PBE-GGA
Structure: optimized geometry

## Properties
- energy relative to the elements (meV per atom) = 228
- space-group type = No. 63
- crystal system = orthorhombic
- energy above the most stable polymorph in this dataset (meV/atom) = 290

Unit cell a=11.2779 b=11.2779 c=2.9980 alpha=90.00 beta=90.00 gamma=164.73
Element x y z (fractional)
U 0.1919 0.8081 0.7500
U 0.8081 0.1919 0.2500
Pa 0.0634 0.9366 0.7500
Pa 0.9366 0.0634 0.2500
C 0.3732 0.6268 0.7500
C 0.6268 0.3732 0.2500


# 2
Compound: CoTcNi14
Source: the Alexandria database
Functional: PBE-GGA
Structure: optimized geometry

## Properties
- energy relative to the elements (meV per atom) = 36
- space-group type = No. 38
- crystal system = orthorhombic

Unit cell a=8.1884 b=5.0104 c=5.0104 alpha=59.94 beta=90.00 gamma=90.00
Element x y z (fractional)
Co 0.0000 0.0000 0.0000
Tc 0.0000 0.5016 0.5016
Ni 0.0000 0.0003 0.5035
Ni 0.0000 0.5035 0.0003
Ni 0.2494 0.1664 0.1664
Ni 0.2506 0.1661 0.6686
Ni 0.2513 0.6675 0.6675
Ni 0.2506 0.6686 0.1661
Ni 0.5000 0.3345 0.3345
Ni 0.5000 0.3343 0.8345
Ni 0.5000 0.8344 0.8344
Ni 0.5000 0.8345 0.3343
Ni 0.7494 0.1661 0.6686
Ni 0.7487 0.6675 0.6675
Ni 0.7494 0.6686 0.1661
Ni 0.7506 0.1664 0.1664


# 3
Compound: VCuPt
Source: the Alexandria database
Functional: PBE-GGA
Structure: optimized geometry

## Properties
- energy relative to the elements (meV per atom) = 278
- space-group type = No. 107
- crystal system = tetragonal
- energy above the most stable polymorph in this dataset (meV/atom) = 609

Unit cell a=7.0243 b=7.0243 c=7.0243 alpha=158.48 beta=158.48 gamma=30.62
Element x y z (fractional)
V 0.0000 0.0000 0.0000
Cu 0.3635 0.3635 0.0000
Pt 0.1738 0.1738 0.0000


# 4
Compound: CdSiMoBr
Source: the Alexandria database
Functional: PBE-GGA
Structure: optimized geometry

## Properties
- space-group type = No. 1
- E_form (uncorrected) (eV/f.u.) = 0.602
- crystal system = triclinic
- energy above the most stable polymorph in this dataset (meV/atom) = 88

Unit cell a=3.3082 b=3.3086 c=8.6894 alpha=89.76 beta=89.90 gamma=60.01
Element x y z (fractional)
Cd 0.0000 0.0000 0.0000
Si 0.3328 0.3384 0.5648
Mo 0.6664 0.6697 0.7420
Br 0.3328 0.3394 0.2999


# 5
Compound: In2HgPdBr
Source: the Alexandria database
Functional: PBE-GGA
Structure: optimized geometry

## Properties
- space-group type = No. 123
- E_form (uncorrected) (eV/f.u.) = -1.769
- crystal system = tetragonal
- energy above the most stable polymorph in this dataset (meV/atom) = 0

Unit cell a=5.2635 b=5.2635 c=5.3208 alpha=90.00 beta=90.00 gamma=90.00
Element x y z (fractional)
In 0.0000 0.5000 0.0000
In 0.5000 0.0000 0.0000
Hg 0.0000 0.0000 0.5000
Pd 0.0000 0.0000 0.0000
Br 0.5000 0.5000 0.5000


# 6
Compound: CdHgMo2
Source: the Alexandria database
Functional: PBE-GGA
Structure: optimized geometry

## Properties
- energy relative to the elements (meV per atom) = 588
- space-group type = No. 119
- crystal system = tetragonal
- energy above the most stable polymorph in this dataset (meV/atom) = 277

Unit cell a=5.0536 b=5.0536 c=5.0536 alpha=131.34 beta=131.34 gamma=71.28
Element x y z (fractional)
Cd 0.0000 0.0000 0.0000
Hg 0.2500 0.7500 0.5000
Mo 0.5000 0.5000 0.0000
Mo 0.7500 0.2500 0.5000